{"formula": "TmZnSnHg", "functional": "PBE", "state": "optimized geometry", "lattice_angstrom": [[0.000, 3.587, 3.587], [3.587, 0.000, 3.587], [3.587, 3.587, 0.000]], "species": ["Tm", "Zn", "Sn", "Hg"], "frac_coords": [[0.000, 0.000, 0.000], [0.250, 0.250, 0.250], [0.500, 0.500, 0.500], [0.750, 0.750, 0.750]], "de_polymorph_ev_per_atom": 0.181, "density_g_cm3": 9.96, "formation_energy_ev_per_fu": -0.7, "magmom_total_mub_per_fu": 0.00}